1.
# ScAlH2

A relaxed ScAlH2 crystal (PBEsol, Alexandria via LeMat-Bulk).

Values from the calculation:
The total DFT energy (no corrections) comes out at -4.283 eV per atom.

Cell: 3.8730 3.8730 3.8730 Å, 60.00 60.00 60.00°
Atoms (fractional coordinates):
H 0.7500 0.7500 0.7500
Al 0.0000 0.0000 0.0000
Sc 0.5000 0.5000 0.5000
H 0.2500 0.2500 0.2500

2.
# AlSn3H

A relaxed AlSn3H crystal (PBEsol, Alexandria via LeMat-Bulk).

Values from the calculation:
The total DFT energy (no corrections) comes out at -3.125 eV per atom.

Cell: 5.2087 5.2087 5.2087 Å, 90.00 90.00 90.00°
Atoms (fractional coordinates):
Sn 0.0000 0.0000 0.5000
H 0.5000 0.5000 0.5000
Al 0.0000 0.0000 0.0000
Sn 0.0000 0.5000 0.0000
Sn 0.5000 0.0000 0.0000

3.
# Sr2AlH7

A relaxed Sr2AlH7 crystal (PBEsol, Alexandria via LeMat-Bulk).

Values from the calculation:
The total DFT energy (no corrections) comes out at -3.509 eV per atom.

Cell: 7.8232 8.1530 8.1530 Å, 108.76 110.33 69.67°
Atoms (fractional coordinates):
H 0.7120 0.8882 0.0360
H 0.7763 0.8031 0.6132
H 0.3736 0.6612 0.5423
Sr 0.4802 0.9241 0.7381
H 0.1264 0.5423 0.6612
H 0.2880 0.1118 0.9640
Al 0.8049 0.0284 0.6792
Al 0.3049 0.3208 0.9716
H 0.0465 0.9247 0.7470
H 0.7237 0.6132 0.8031
H 0.8736 0.4577 0.3388
H 0.9535 0.0753 0.2530
H 0.1658 0.9866 0.5271
H 0.4355 0.8902 0.4002
H 0.3342 0.5271 0.9866
Sr 0.9802 0.2619 0.0759
H 0.7880 0.0360 0.8882
H 0.8241 0.2470 0.7591
Sr 0.5198 0.0759 0.2619
Sr 0.0251 0.7101 0.4333
H 0.8342 0.0134 0.4729
H 0.2763 0.3868 0.1969
H 0.9355 0.5998 0.1098
Sr 0.9749 0.2899 0.5667
H 0.6264 0.3388 0.4577
H 0.0645 0.4002 0.8902
H 0.2120 0.9640 0.1118
Al 0.6951 0.6792 0.0284
H 0.6759 0.7591 0.2470
Al 0.1951 0.9716 0.3208
Sr 0.5251 0.5667 0.2899
H 0.5645 0.1098 0.5998
H 0.4535 0.7470 0.9247
Sr 0.0198 0.7381 0.9241
H 0.5465 0.2530 0.0753
Sr 0.4749 0.4333 0.7101
H 0.2237 0.1969 0.3868
H 0.6658 0.4729 0.0134
H 0.3241 0.2409 0.7530
H 0.1759 0.7530 0.2409

| no. | DOS at the Fermi energy (states/eV/atom) |
| --- | --- |
| 1 | 0.337 |
| 2 | 0.494 |
| 3 | 0.000 |